Entry from Alexandria: a geometry-optimized Dy4GaSb structure (PBE).

a = 8.549 Å, b = 8.549 Å, c = 7.413 Å
α = 102.85°, β = 102.85°, γ = 41.66°
Positions (direct):
Dy1 0.038 0.808 0.554
Dy2 0.192 0.962 0.946
Dy3 0.225 0.455 0.875
Dy4 0.455 0.225 0.375
Dy5 0.545 0.775 0.625
Dy6 0.775 0.545 0.125
Dy7 0.808 0.038 0.054
Dy8 0.962 0.192 0.446
Ga1 0.000 0.500 0.500
Ga2 0.500 0.000 0.000
Sb1 0.371 0.629 0.250
Sb2 0.629 0.371 0.750

formation energy (no corrections): -2.21 eV per formula unit